Here is a geometry-optimized VTcCl structure from the Alexandria database. Energies are from PBE.

```
data_VTcCl
_symmetry_space_group_name_H-M 'P -1'
_symmetry_Int_Tables_number 2
_symmetry_space_group_name_Hall '-P 1'
_cell_length_a 3.0371
_cell_length_b 4.3908
_cell_length_c 8.9409
_cell_angle_alpha 81.12
_cell_angle_beta 80.42
_cell_angle_gamma 90.00
loop_
_atom_site_label
_atom_site_type_symbol
_atom_site_fract_x
_atom_site_fract_y
_atom_site_fract_z
_atom_site_occupancy
V1 V 0.0667 0.3638 0.3635 1
Tc1 Tc 0.4511 0.2131 0.5998 1
Cl1 Cl 0.3396 0.8006 0.8275 1
```

VASP energy = -22.4 eV/f.u.
Energy relative to the lowest polymorph listed for this composition = 0.0681 eV/atom
Fermi-level density of states = 0.40 states/eV per atom

=====

Here is a geometry-optimized MgNiP structure from the Alexandria database. Energies are from PBE.

```
data_MgNiP
_symmetry_space_group_name_H-M 'P 1'
_symmetry_Int_Tables_number 1
_symmetry_space_group_name_Hall 'P 1'
_cell_length_a 3.9690
_cell_length_b 5.1104
_cell_length_c 5.1153
_cell_angle_alpha 99.92
_cell_angle_beta 106.06
_cell_angle_gamma 106.39
loop_
_atom_site_label
_atom_site_type_symbol
_atom_site_fract_x
_atom_site_fract_y
_atom_site_fract_z
_atom_site_occupancy
Mg1 Mg 0.0000 0.0000 0.0000 1
Mg2 Mg 0.0038 0.4595 0.5417 1
Ni1 Ni 0.6473 0.4368 0.9785 1
Ni2 Ni 0.7300 0.8732 0.4157 1
P1 P 0.2380 0.5625 0.1029 1
P2 P 0.3613 0.0586 0.6002 1
```

VASP energy = -14.3 eV/f.u.
Fermi-level density of states = 0.41 states/eV per atom
Energy of formation = -0.51 eV/atom

=====

Here is a geometry-optimized Li6Mg2Zn3 structure from the Alexandria database. Energies are from PBE.

```
data_Li6Mg2Zn3
_symmetry_space_group_name_H-M 'C m m m'
_symmetry_Int_Tables_number 65
_symmetry_space_group_name_Hall '-C 2 2'
_cell_length_a 10.1824
_cell_length_b 13.1520
_cell_length_c 3.2280
_cell_angle_alpha 90.00
_cell_angle_beta 90.00
_cell_angle_gamma 90.00
loop_
_atom_site_label
_atom_site_type_symbol
_atom_site_fract_x
_atom_site_fract_y
_atom_site_fract_z
_atom_site_occupancy
Li1 Li 0.1256 0.0000 0.0000 1
Li2 Li 0.1628 0.3313 0.0000 1
Mg1 Mg 0.0000 0.1653 0.5000 1
Zn1 Zn 0.0000 0.5000 0.0000 1
Zn2 Zn 0.1887 0.5000 0.5000 1
```

VASP energy = -18.4 eV/f.u.
Energy relative to the lowest polymorph listed for this composition = 0.0355 eV/atom
Fermi-level density of states = 0.27 states/eV per atom
Energy of formation = 0.01 eV/atom

=====

Here is a geometry-optimized Ac3MnS6 structure from the Alexandria database. Energies are from PBE.

```
data_Ac3MnS6
_symmetry_space_group_name_H-M 'C m c 21'
_symmetry_Int_Tables_number 36
_symmetry_space_group_name_Hall 'C 2c -2'
_cell_length_a 11.4383
_cell_length_b 14.3161
_cell_length_c 6.9839
_cell_angle_alpha 90.00
_cell_angle_beta 90.00
_cell_angle_gamma 90.00
loop_
_atom_site_label
_atom_site_type_symbol
_atom_site_fract_x
_atom_site_fract_y
_atom_site_fract_z
_atom_site_occupancy
Ac1 Ac 0.0000 0.1065 0.0000 1
Ac2 Ac 0.1858 0.3972 0.9436 1
Mn1 Mn 0.0000 0.3063 0.3950 1
S1 S 0.0000 0.2862 0.7252 1
S2 S 0.0000 0.4560 0.2605 1
S3 S 0.1553 0.2413 0.2383 1
S4 S 0.1598 0.0168 0.7199 1
```

VASP energy = -63.6 eV/f.u.
Energy relative to the lowest polymorph listed for this composition = 0.0000 eV/atom
Fermi-level density of states = 0.61 states/eV per atom

=====

Here is a geometry-optimized NpBeP2 structure from the Alexandria database. Energies are from PBE.

```
data_NpBeP2
_symmetry_space_group_name_H-M 'P 4/n m m'
_symmetry_Int_Tables_number 129
_cell_length_a 3.6476
_cell_length_b 3.6476
_cell_length_c 9.3788
_cell_angle_alpha 90.00
_cell_angle_beta 90.00
_cell_angle_gamma 90.00
loop_
_symmetry_equiv_pos_as_xyz
'x,y,z'
'-x,-y,-z'
'-y+1/2,x,z'
'y+1/2,-x,-z'
'-x+1/2,-y+1/2,z'
'x+1/2,y+1/2,-z'
'y,-x+1/2,z'
'-y,x+1/2,-z'
'x+1/2,-y,-z'
'-x+1/2,y,z'
'-y,-x,-z'
'y,x,z'
'-x,y+1/2,-z'
'x,-y+1/2,z'
'y+1/2,x+1/2,-z'
'-y+1/2,-x+1/2,z'
loop_
_atom_site_label
_atom_site_type_symbol
_atom_site_fract_x
_atom_site_fract_y
_atom_site_fract_z
_atom_site_occupancy
Np1 Np 0.2500 0.2500 0.2336 1
Be1 Be 0.2500 0.7500 0.5000 1
P1 P 0.2500 0.2500 0.6390 1
P2 P 0.2500 0.7500 0.0000 1
```

VASP energy = -29.6 eV/f.u.
Energy relative to the lowest polymorph listed for this composition = 0.0000 eV/atom
Fermi-level density of states = 1.41 states/eV per atom
Energy of formation = -0.53 eV/atom

=====

Here is a geometry-optimized CsCuAgF2 structure from the Alexandria database. Energies are from PBE.

```
data_CsCuAgF2
_symmetry_space_group_name_H-M 'P 4/m m m'
_symmetry_Int_Tables_number 123
_symmetry_space_group_name_Hall '-P 4 2'
_cell_length_a 4.7102
_cell_length_b 4.7102
_cell_length_c 4.9112
_cell_angle_alpha 90.00
_cell_angle_beta 90.00
_cell_angle_gamma 90.00
loop_
_atom_site_label
_atom_site_type_symbol
_atom_site_fract_x
_atom_site_fract_y
_atom_site_fract_z
_atom_site_occupancy
Cs1 Cs 0.0000 0.0000 0.0000 1
Cu1 Cu 0.5000 0.5000 0.0000 1
Ag1 Ag 0.5000 0.5000 0.5000 1
F1 F 0.0000 0.5000 0.5000 1
```

VASP energy = -16.0 eV/f.u.
Fermi-level density of states = 0.33 states/eV per atom

=====

Here is a geometry-optimized Tb4SbPt structure from the Alexandria database. Energies are from PBE.

```
data_Tb4SbPt
_symmetry_space_group_name_H-M 'P 1 21/m 1'
_symmetry_Int_Tables_number 11
_symmetry_space_group_name_Hall '-P 2yb'
_cell_length_a 6.1229
_cell_length_b 6.5891
_cell_length_c 8.8084
_cell_angle_alpha 90.00
_cell_angle_beta 110.18
_cell_angle_gamma 90.00
loop_
_atom_site_label
_atom_site_type_symbol
_atom_site_fract_x
_atom_site_fract_y
_atom_site_fract_z
_atom_site_occupancy
Tb1 Tb 0.1730 0.2500 0.1036 1
Tb2 Tb 0.2892 0.7500 0.3946 1
Tb3 Tb 0.2930 0.9998 0.7910 1
Sb1 Sb 0.1570 0.2500 0.4548 1
Pt1 Pt 0.3031 0.7500 0.0715 1
```

VASP energy = -33.6 eV/f.u.
Energy relative to the lowest polymorph listed for this composition = 0.0000 eV/atom
Fermi-level density of states = 0.92 states/eV per atom

=====

Here is a geometry-optimized GePNCl2 structure from the Alexandria database. Energies are from PBE.

```
data_GePNCl2
_symmetry_space_group_name_H-M 'P 4/m m m'
_symmetry_Int_Tables_number 123
_symmetry_space_group_name_Hall '-P 4 2'
_cell_length_a 4.2757
_cell_length_b 4.2757
_cell_length_c 4.5675
_cell_angle_alpha 90.00
_cell_angle_beta 90.00
_cell_angle_gamma 90.00
loop_
_atom_site_label
_atom_site_type_symbol
_atom_site_fract_x
_atom_site_fract_y
_atom_site_fract_z
_atom_site_occupancy
Ge1 Ge 0.0000 0.0000 0.0000 1
P1 P 0.5000 0.5000 0.0000 1
N1 N 0.5000 0.5000 0.5000 1
Cl1 Cl 0.0000 0.5000 0.5000 1
```

VASP energy = -17.1 eV/f.u.
Energy relative to the lowest polymorph listed for this composition = 0.0000 eV/atom
Fermi-level density of states = 0.41 states/eV per atom

=====

Here is a geometry-optimized BaGd6 structure from the Alexandria database. Energies are from PBE.

```
data_BaGd6
_symmetry_space_group_name_H-M 'I m -3 m'
_symmetry_Int_Tables_number 229
_symmetry_space_group_name_Hall '-I 4 2 3'
_cell_length_a 8.3921
_cell_length_b 8.3921
_cell_length_c 8.3921
_cell_angle_alpha 90.00
_cell_angle_beta 90.00
_cell_angle_gamma 90.00
loop_
_atom_site_label
_atom_site_type_symbol
_atom_site_fract_x
_atom_site_fract_y
_atom_site_fract_z
_atom_site_occupancy
Ba1 Ba 0.0000 0.0000 0.0000 1
Gd1 Gd 0.0000 0.2500 0.5000 1
```

VASP energy = -78.8 eV/f.u.
Fermi-level density of states = 1.44 states/eV per atom
Energy of formation = 1.08 eV/atom

=====

Here is a geometry-optimized SrRePt2 structure from the Alexandria database. Energies are from PBE.

```
data_SrRePt2
_symmetry_space_group_name_H-M 'F m -3 m'
_symmetry_Int_Tables_number 225
_symmetry_space_group_name_Hall '-F 4 2 3'
_cell_length_a 6.7771
_cell_length_b 6.7771
_cell_length_c 6.7771
_cell_angle_alpha 90.00
_cell_angle_beta 90.00
_cell_angle_gamma 90.00
loop_
_atom_site_label
_atom_site_type_symbol
_atom_site_fract_x
_atom_site_fract_y
_atom_site_fract_z
_atom_site_occupancy
Sr1 Sr 0.0000 0.0000 0.0000 1
Re1 Re 0.0000 0.0000 0.5000 1
Pt1 Pt 0.2500 0.2500 0.2500 1
```

VASP energy = -24.5 eV/f.u.
Energy relative to the lowest polymorph listed for this composition = 0.4852 eV/atom
Fermi-level density of states = 0.79 states/eV per atom
Energy of formation = 0.42 eV/atom

=====

Here is a geometry-optimized ZnBi2Te structure from the Alexandria database. Energies are from PBE.

```
data_ZnBi2Te
_symmetry_space_group_name_H-M 'F m -3 m'
_symmetry_Int_Tables_number 225
_symmetry_space_group_name_Hall '-F 4 2 3'
_cell_length_a 7.6567
_cell_length_b 7.6567
_cell_length_c 7.6567
_cell_angle_alpha 90.00
_cell_angle_beta 90.00
_cell_angle_gamma 90.00
loop_
_atom_site_label
_atom_site_type_symbol
_atom_site_fract_x
_atom_site_fract_y
_atom_site_fract_z
_atom_site_occupancy
Zn1 Zn 0.0000 0.0000 0.0000 1
Bi1 Bi 0.2500 0.2500 0.2500 1
Te1 Te 0.0000 0.0000 0.5000 1
```

VASP energy = -11.3 eV/f.u.
Energy relative to the lowest polymorph listed for this composition = 0.0144 eV/atom
Fermi-level density of states = 0.81 states/eV per atom

=====

Here is a geometry-optimized PaAgBr structure from the Alexandria database. Energies are from PBE.

```
data_PaAgBr
_symmetry_space_group_name_H-M 'P -6 m 2'
_symmetry_Int_Tables_number 187
_symmetry_space_group_name_Hall 'P -6 2'
_cell_length_a 3.3826
_cell_length_b 3.3826
_cell_length_c 16.0348
_cell_angle_alpha 90.00
_cell_angle_beta 90.00
_cell_angle_gamma 120.00
loop_
_atom_site_label
_atom_site_type_symbol
_atom_site_fract_x
_atom_site_fract_y
_atom_site_fract_z
_atom_site_occupancy
Pa1 Pa 0.0000 0.0000 0.1567 1
Ag1 Ag 0.6667 0.3333 0.0000 1
Ag2 Ag 0.6667 0.3333 0.5000 1
Br1 Br 0.6667 0.3333 0.2940 1
```

VASP energy = -14.6 eV/f.u.
Fermi-level density of states = 1.46 states/eV per atom